{
  "formula": "PaReRu",
  "functional": "GGA-PBE",
  "state": "relaxed",
  "lattice": [[5.1357, 0.2158, 0.0000], [-2.2990, 4.5975, 0.0000], [0.0000, 0.0000, 9.1534]],
  "species": ["Pa", "Pa", "Pa", "Pa", "Re", "Re", "Re", "Re", "Ru", "Ru", "Ru", "Ru"],
  "frac_coords": [[0.6626, 0.3374, 0.1871], [0.3403, 0.6598, 0.6825], [0.3403, 0.6598, 0.3175], [0.6626, 0.3374, 0.8129], [0.8360, 0.1640, 0.5000], [0.1677, 0.8323, 0.0000], [0.1678, 0.3411, 0.0000], [0.6589, 0.8322, 0.0000], [0.9882, 0.0118, 0.7486], [0.9882, 0.0118, 0.2514], [0.8444, 0.6569, 0.5000], [0.3431, 0.1556, 0.5000]],
  "magnetic_moment_mub_per_fu": 0.000,
  "volume_a3_per_cell": 220.67,
  "formation_enthalpy_0k_kj_per_mol_atoms": -26.6,
  "sg": "Amm2",
  "relative_energy_kj_per_mol_atoms": 0.0,
  "energy_ev_per_atom": -10.683
}